Entry 1:
# Li2HN

A relaxed structure of Li2HN (PBEsol, Alexandria via LeMat-Bulk).

N(E_F)	0.0	states/eV/f.u.
electronic total energy	-17.63	eV per cell
polymorph energy (0 for the lowest one)	90	meV per atom

abc: 3.5607 3.5607 3.6182
angles: 60.52 60.52 60.00
Positions (direct):
H 0.0890 0.0890 0.7330
N 0.9735 0.9735 0.0795
Li 0.2837 0.2837 0.1490
Li 0.7468 0.7468 0.7595

***

Entry 2:
# LiPH3NO3

A relaxed structure of LiPH3NO3 (PBEsol, Alexandria via LeMat-Bulk).

N(E_F)	0.0	states/eV/f.u.
electronic total energy	-219.81	eV per cell

abc: 4.7616 8.4144 8.8352
angles: 101.51 103.56 93.31
Positions (direct):
H 0.4208 0.1744 0.7159
H 0.5792 0.8256 0.2841
H 0.4175 0.1007 0.3592
H 0.5825 0.8993 0.6408
H 0.9583 0.4499 0.1691
H 0.0417 0.5501 0.8309
H 0.1504 0.6150 0.1648
H 0.8496 0.3850 0.8352
H 0.6816 0.3055 0.2696
H 0.3184 0.6945 0.7304
H 0.4599 0.4011 0.1659
H 0.5401 0.5989 0.8341
Li 0.3701 0.8569 0.9965
Li 0.6299 0.1431 0.0035
Li 0.3023 0.5677 0.4245
Li 0.6977 0.4323 0.5755
N 0.1973 0.0874 0.3534
N 0.8027 0.9126 0.6466
N 0.1970 0.1642 0.6657
N 0.8030 0.8358 0.3343
O 0.2894 0.3834 0.5157
O 0.7106 0.6166 0.4843
O 0.7797 0.2298 0.4466
O 0.2203 0.7702 0.5534
O 0.2049 0.8151 0.1704
O 0.7951 0.1849 0.8296
O 0.2426 0.0304 0.8972
O 0.7574 0.9696 0.1028
O 0.1614 0.5053 0.1934
O 0.8386 0.4947 0.8066
O 0.6351 0.3402 0.1654
O 0.3649 0.6598 0.8346
P 0.1057 0.2243 0.4933
P 0.8943 0.7757 0.5067
P 0.0095 0.0754 0.7696
P 0.9905 0.9246 0.2304

***

Entry 3:
# RbLiH4S2N2O6

A relaxed structure of RbLiH4S2N2O6 (PBEsol, Alexandria via LeMat-Bulk).

N(E_F)	0.0	states/eV/f.u.
electronic total energy	-371.46	eV per cell

abc: 7.7624 9.7254 10.7411
angles: 109.31 92.20 97.78
Positions (direct):
Rb 0.7674 0.1095 0.1425
Rb 0.2326 0.8905 0.8575
Rb 0.2156 0.9003 0.3420
Rb 0.7844 0.0997 0.6580
Li 0.8932 0.7280 0.0481
Li 0.1068 0.2720 0.9519
Li 0.1244 0.2887 0.4619
Li 0.8756 0.7113 0.5381
H 0.5420 0.6511 0.8566
H 0.4580 0.3489 0.1434
H 0.6852 0.5768 0.7454
H 0.3148 0.4232 0.2546
H 0.5283 0.6612 0.3407
H 0.4717 0.3388 0.6593
H 0.5299 0.6633 0.1799
H 0.4701 0.3367 0.8201
H 0.5008 0.3168 0.3847
H 0.4992 0.6832 0.6153
H 0.5649 0.1734 0.4229
H 0.4351 0.8266 0.5771
H 0.2373 0.4823 0.7838
H 0.7627 0.5177 0.2162
H 0.0357 0.5252 0.8251
H 0.9643 0.4748 0.1749
S 0.7354 0.8251 0.8261
S 0.2646 0.1749 0.1739
S 0.7250 0.8402 0.3238
S 0.2750 0.1598 0.6762
S 0.7574 0.3794 0.5070
S 0.2426 0.6206 0.4930
S 0.2352 0.6035 0.9992
S 0.7648 0.3965 0.0008
N 0.6120 0.6621 0.7787
N 0.3880 0.3379 0.2213
N 0.6039 0.6761 0.2671
N 0.3961 0.3239 0.7329
N 0.5584 0.2850 0.4581
N 0.4416 0.7150 0.5419
N 0.1686 0.5614 0.8418
N 0.8314 0.4386 0.1582
O 0.6155 0.9316 0.8658
O 0.3845 0.0684 0.1342
O 0.8234 0.8304 0.7089
O 0.1766 0.1696 0.2911
O 0.8653 0.8396 0.9354
O 0.1347 0.1604 0.0646
O 0.6159 0.9565 0.3667
O 0.3841 0.0435 0.6333
O 0.8391 0.8369 0.4347
O 0.1609 0.1631 0.5653
O 0.8241 0.8508 0.2127
O 0.1759 0.1492 0.7873
O 0.7541 0.5143 0.4761
O 0.2459 0.4857 0.5239
O 0.8789 0.2851 0.4339
O 0.1211 0.7149 0.5661
O 0.7829 0.4058 0.6501
O 0.2171 0.5942 0.3499
O 0.4233 0.6540 0.0078
O 0.5767 0.3460 0.9922
O 0.1397 0.7227 0.0698
O 0.8603 0.2773 0.9302
O 0.1964 0.4752 0.0427
O 0.8036 0.5248 0.9573

***

Entry 4:
# LiH5SN2O4

A relaxed structure of LiH5SN2O4 (PBEsol, Alexandria via LeMat-Bulk).

N(E_F)	0.0	states/eV/f.u.
electronic total energy	-295.96	eV per cell

abc: 5.0060 8.9855 9.9488
angles: 90.00 90.00 90.00
Positions (direct):
Li 0.2555 0.4323 0.3304
Li 0.7555 0.5677 0.6696
Li 0.2555 0.0677 0.8304
Li 0.7555 0.9323 0.1696
H 0.7443 0.3912 0.1229
H 0.2443 0.6088 0.8771
H 0.7443 0.1088 0.6229
H 0.2443 0.8912 0.3771
H 0.5524 0.4750 0.0076
H 0.0524 0.5250 0.9924
H 0.5524 0.0250 0.5076
H 0.0524 0.9750 0.4924
H 0.7101 0.1845 0.3431
H 0.2101 0.8155 0.6569
H 0.7101 0.3155 0.8431
H 0.2101 0.6845 0.1569
H 0.9210 0.2655 0.4578
H 0.4210 0.7345 0.5422
H 0.9210 0.2345 0.9578
H 0.4210 0.7655 0.0422
H 0.5799 0.2830 0.4714
H 0.0799 0.7170 0.5286
H 0.5799 0.2170 0.9714
H 0.0799 0.7830 0.0286
S 0.2602 0.1295 0.1591
S 0.7602 0.8705 0.8409
S 0.2602 0.3705 0.6591
S 0.7602 0.6295 0.3409
N 0.7378 0.4221 0.0231
N 0.2378 0.5779 0.9769
N 0.7378 0.0779 0.5231
N 0.2378 0.9221 0.4769
N 0.7367 0.2117 0.4446
N 0.2367 0.7883 0.5554
N 0.7367 0.2883 0.9446
N 0.2367 0.7117 0.0554
O 0.5508 0.1131 0.1897
O 0.0508 0.8869 0.8103
O 0.5508 0.3869 0.6897
O 0.0508 0.6131 0.3103
O 0.2336 0.1562 0.0105
O 0.7336 0.8438 0.9895
O 0.2336 0.3438 0.5105
O 0.7336 0.6562 0.4895
O 0.1487 0.2579 0.2318
O 0.6487 0.7421 0.7682
O 0.1487 0.2421 0.7318
O 0.6487 0.7579 0.2682
O 0.6191 0.4905 0.3048
O 0.1191 0.5095 0.6952
O 0.6191 0.0095 0.8048
O 0.1191 0.9905 0.1952

***

Which formula does entry 4 have? LiH5SN2O4

***

The lowest electronic total energy belongs to which entry? RbLiH4S2N2O6

***

N(E_F) of number 4 (LiH5SN2O4)? 0.0 states/eV/f.u.